# UTaCoO6 | Alexandria via LeMat-Bulk | PBE with a Hubbard U | optimized geometry
data_UTaCoO6
_space_group_name_H-M_alt 'P 1'
_space_group_IT_number 1
_space_group_name_Hall 'P 1'
_cell_length_a 5.501
_cell_length_b 5.501
_cell_length_c 8.870
_cell_angle_alpha 90.00
_cell_angle_beta 90.00
_cell_angle_gamma 120.00
loop_
_atom_site_label
_atom_site_fract_x
_atom_site_fract_y
_atom_site_fract_z
Ta1 0.333 0.667 0.750
U1 0.667 0.333 0.750
O1 0.336 0.356 0.869
O2 0.021 0.356 0.631
O3 0.979 0.336 0.131
O4 0.356 0.021 0.131
O5 0.644 0.664 0.631
O6 0.979 0.644 0.369
Co1 0.000 0.000 0.000
O7 0.336 0.979 0.631
U2 0.333 0.667 0.250
O8 0.356 0.336 0.369
Co2 0.000 0.000 0.500
O9 0.021 0.664 0.869
Ta2 0.667 0.333 0.250
O10 0.644 0.979 0.869
O11 0.664 0.021 0.369
O12 0.664 0.644 0.131
# E ... -8.92 eV/atom
# Space-group type ... No. 163
# Crystal system ... trigonal
# M_tot ... 4.0 Bohr magnetons per cell